First-principles (GGA-PBE) data for a relaxed structure of Sm3Er5Cd2, as listed in the Alexandria database.

For the magnetization, the calculation gives 0.00 μB/cell. As for the density of states at the Fermi level: 49.0 states/eV per cell. The calculation puts the formation energy at 3.38 kcal/mol of atoms.

It has space group Ibam (No. 72), with a = 13.265 Å, b = 14.462 Å, c = 6.618 Å, α = 90.00°, β = 90.00° and γ = 90.00°. The asymmetric unit holds Sm at (0.000, 0.000, 0.250), Sm at (0.142, 0.223, 0.000), Er at (0.000, 0.500, 0.250), Er at (0.097, 0.328, 0.500), Er at (0.238, 0.500, 0.250) and Cd at (0.137, 0.136, 0.500).